(1)
First-principles (PBE) data for a relaxed Y5CdCo2 crystal, as listed in Alexandria.

Output
- Fermi-level density of states (states/eV per cell) = 14.65
- spin magnetization (μB per cell) = 0.00
- calculated formation energy (kJ/mol of formula units) = -159

a b c (Å): 7.662 7.662 8.617
angles (deg): 116.39 116.39 90.00
Fractional positions:
Cd 0.250 0.250 0.500
Cd 0.750 0.750 0.500
Y 0.000 0.000 0.000
Y 0.792 0.972 0.265
Y 0.708 0.208 0.735
Y 0.208 0.028 0.735
Y 0.500 0.500 0.000
Y 0.292 0.792 0.265
Y 0.972 0.472 0.265
Y 0.472 0.292 0.265
Y 0.028 0.528 0.735
Y 0.528 0.708 0.735
Co 0.864 0.636 0.000
Co 0.136 0.364 0.000
Co 0.364 0.864 0.000
Co 0.636 0.136 0.000

(2)
First-principles (PBE) data for a relaxed NbNi3Rh4 crystal, as listed in Alexandria.

Output
- Fermi-level density of states (states/eV per cell) = 13.10
- spin magnetization (μB per cell) = 1.18
- calculated formation energy (kJ/mol of formula units) = 52

a b c (Å): 2.662 4.980 11.305
angles (deg): 49.09 96.76 90.00
Site moments in Bohr magnetons follow the coordinates.
Fractional positions:
Rh 0.737 0.277 0.474  0.25
Rh 0.125 0.874 0.249  0.08
Rh 0.263 0.723 0.526  0.25
Rh 0.875 0.126 0.751  0.08
Nb 0.500 0.000 0.000  -0.03
Ni 0.876 0.629 0.753  0.25
Ni 0.000 0.500 0.000  0.08
Ni 0.124 0.371 0.247  0.25

(3)
First-principles (PBE) data for a relaxed Li2CdOs crystal, as listed in Alexandria.

Output
- Fermi-level density of states (states/eV per cell) = 2.96
- spin magnetization (μB per cell) = 0.00
- calculated formation energy (kJ/mol of formula units) = 120

a b c (Å): 4.619 4.619 2.706
angles (deg): 90.00 90.00 90.00
Fractional positions:
Li 0.500 0.500 0.000
Li 0.000 0.000 0.000
Cd 0.000 0.500 0.500
Os 0.500 0.000 0.500

(4)
First-principles (PBE) data for a relaxed Th2CuSi crystal, as listed in Alexandria.

Output
- Fermi-level density of states (states/eV per cell) = 9.71
- ΔE_f (raw) (eV/f.u.) = -1.80
- spin magnetization (μB per cell) = 0.00

a b c (Å): 4.023 5.975 8.430
angles (deg): 110.67 90.00 90.00
Fractional positions:
Th 0.750 0.215 0.938
Th 0.250 0.785 0.062
Th 0.250 0.793 0.584
Th 0.750 0.207 0.416
Cu 0.750 0.612 0.777
Cu 0.250 0.388 0.223
Si 0.750 0.649 0.290
Si 0.250 0.351 0.710

(5)
First-principles (PBE) data for a relaxed Ho8Si3Te4Se crystal, as listed in Alexandria.

Output
- Fermi-level density of states (states/eV per cell) = 3.76
- ΔE_f (raw) (eV/f.u.) = -19.83
- spin magnetization (μB per cell) = 0.00

a b c (Å): 8.389 8.538 8.390
angles (deg): 119.42 120.00 90.00
Fractional positions:
Ho 0.244 0.719 0.974
Ho 0.730 0.719 0.974
Ho 0.270 0.281 0.026
Ho 0.740 0.719 0.479
Ho 0.260 0.281 0.521
Ho 0.244 0.719 0.489
Ho 0.756 0.281 0.026
Ho 0.756 0.281 0.511
Se 0.000 0.500 0.000
Si 0.500 0.500 0.500
Si 0.500 0.500 0.000
Si 0.000 0.500 0.500
Te 0.500 0.000 0.000
Te 0.000 0.000 0.000
Te 0.500 0.000 0.500
Te 0.000 0.000 0.500

(6)
First-principles (PBE) data for a relaxed MgTa3F crystal, as listed in Alexandria.

Output
- Fermi-level density of states (states/eV per cell) = 3.93
- ΔE_f (raw) (eV/f.u.) = 1.30
- spin magnetization (μB per cell) = 0.00

a b c (Å): 4.369 4.369 4.369
angles (deg): 90.00 90.00 90.00
Fractional positions:
F 0.000 0.000 0.000
Mg 0.500 0.500 0.500
Ta 0.000 0.000 0.500
Ta 0.500 0.000 0.000
Ta 0.000 0.500 0.000

(7)
First-principles (PBE) data for a relaxed BaCdTe2N crystal, as listed in Alexandria.

Output
- Fermi-level density of states (states/eV per cell) = 3.12
- ΔE_f (raw) (eV/f.u.) = 0.30
- spin magnetization (μB per cell) = 2.29

a b c (Å): 5.924 5.924 4.428
angles (deg): 90.00 90.00 90.00
Site moments in Bohr magnetons follow the coordinates.
Fractional positions:
Ba 0.500 0.500 0.500  0.00
N 0.000 0.000 0.500  1.17
Cd 0.000 0.000 0.000  0.02
Te 0.000 0.500 0.000  0.16
Te 0.500 0.000 0.000  0.16

(8)
First-principles (PBE) data for a relaxed Ba2YMn crystal, as listed in Alexandria.

Output
- Fermi-level density of states (states/eV per cell) = 5.35
- spin magnetization (μB per cell) = 2.66
- calculated formation energy (kJ/mol of formula units) = 162

a b c (Å): 5.334 5.334 9.322
angles (deg): 74.69 74.69 43.85
Site moments in Bohr magnetons follow the coordinates.
Fractional positions:
Ba 0.006 0.006 0.925  -0.06
Ba 0.167 0.167 0.325  -0.06
Y 0.804 0.804 0.625  -0.31
Mn 0.522 0.522 0.625  3.42

(9)
First-principles (PBE) data for a relaxed AlOsAu2 crystal, as listed in Alexandria.

Output
- Fermi-level density of states (states/eV per cell) = 1.55
- spin magnetization (μB per cell) = 0.00
- calculated formation energy (kJ/mol of formula units) = 58

a b c (Å): 3.252 4.348 4.558
angles (deg): 90.00 90.00 90.00
Fractional positions:
Os 0.500 0.000 0.500
Al 0.000 0.500 0.500
Au 0.500 0.500 0.000
Au 0.000 0.000 0.000

(10)
First-principles (PBE) data for a relaxed Nd2ErCuS5 crystal, as listed in Alexandria.

Output
- Fermi-level density of states (states/eV per cell) = 0.05
- ΔE_f (raw) (eV/f.u.) = -15.81
- spin magnetization (μB per cell) = 0.00

a b c (Å): 3.912 8.645 11.636
angles (deg): 90.00 90.00 103.07
Fractional positions:
S 0.499 0.997 0.779
S 0.711 0.422 0.172
S 0.501 0.003 0.279
S 0.313 0.626 0.350
S 0.044 0.087 0.059
S 0.356 0.713 0.002
S 0.289 0.578 0.672
S 0.687 0.374 0.850
S 0.644 0.287 0.502
S 0.956 0.913 0.559
Er 0.805 0.610 0.510
Er 0.195 0.390 0.010
Nd 0.123 0.245 0.310
Nd 0.891 0.783 0.186
Nd 0.109 0.217 0.686
Nd 0.877 0.755 0.810
Cu 0.558 0.116 0.955
Cu 0.442 0.884 0.455

(11)
First-principles (PBE) data for a relaxed YSc5Al3 crystal, as listed in Alexandria.

Output
- Fermi-level density of states (states/eV per cell) = 19.66
- spin magnetization (μB per cell) = 0.00
- calculated formation energy (kJ/mol of formula units) = -284

a b c (Å): 6.262 8.576 8.576
angles (deg): 120.00 90.00 90.00
Fractional positions:
Al 0.250 0.665 0.665
Al 0.250 0.000 0.335
Al 0.750 0.665 0.000
Al 0.750 0.335 0.335
Al 0.750 0.000 0.665
Al 0.250 0.335 0.000
Sc 0.000 0.667 0.333
Sc 0.000 0.333 0.667
Sc 0.250 0.339 0.339
Sc 0.250 0.661 0.000
Sc 0.750 0.661 0.661
Sc 0.500 0.667 0.333
Sc 0.500 0.333 0.667
Sc 0.750 0.339 0.000
Sc 0.250 0.000 0.661
Sc 0.750 0.000 0.339
Y 0.000 0.000 0.000
Y 0.500 0.000 0.000

(12)
First-principles (PBE) data for a relaxed Ga6CuNi8 crystal, as listed in Alexandria.

Output
- Fermi-level density of states (states/eV per cell) = 12.36
- spin magnetization (μB per cell) = 0.00
- calculated formation energy (kJ/mol of formula units) = -204

a b c (Å): 6.949 6.949 6.320
angles (deg): 56.65 56.65 60.00
Fractional positions:
Ga 0.930 0.283 0.191
Ga 0.404 0.070 0.809
Ga 0.717 0.404 0.809
Ga 0.283 0.596 0.191
Ga 0.596 0.930 0.191
Ga 0.070 0.717 0.809
Ni 0.331 0.331 0.008
Ni 0.103 0.435 0.675
Ni 0.565 0.212 0.325
Ni 0.788 0.103 0.675
Ni 0.212 0.897 0.325
Ni 0.897 0.565 0.325
Ni 0.435 0.788 0.675
Ni 0.669 0.669 0.992
Cu 0.000 0.000 0.000

(13)
First-principles (PBE) data for a relaxed CrSnSeBr2 crystal, as listed in Alexandria.

Output
- Fermi-level density of states (states/eV per cell) = 1.93
- ΔE_f (raw) (eV/f.u.) = -1.26
- spin magnetization (μB per cell) = 3.97

a b c (Å): 5.036 5.036 5.189
angles (deg): 90.00 90.00 90.00
Site moments in Bohr magnetons follow the coordinates.
Fractional positions:
Sn 0.500 0.500 0.500  0.10
Br 0.000 0.500 0.000  0.00
Br 0.500 0.000 0.000  0.00
Cr 0.000 0.000 0.000  3.50
Se 0.000 0.000 0.500  -0.07

(14)
First-principles (PBE) data for a relaxed RbScBr2 crystal, as listed in Alexandria.

Output
- Fermi-level density of states (states/eV per cell) = 5.53
- ΔE_f (raw) (eV/f.u.) = -4.11
- spin magnetization (μB per cell) = 0.00

a b c (Å): 10.738 10.738 10.738
angles (deg): 21.29 21.29 21.29
Fractional positions:
Rb 0.000 0.000 0.000
Br 0.885 0.885 0.885
Br 0.115 0.115 0.115
Sc 0.500 0.500 0.500

(15)
First-principles (PBE) data for a relaxed LiYTe crystal, as listed in Alexandria.

Output
- Fermi-level density of states (states/eV per cell) = 2.07
- ΔE_f (raw) (eV/f.u.) = -1.76
- spin magnetization (μB per cell) = 0.00

a b c (Å): 4.895 4.895 4.895
angles (deg): 60.00 60.00 60.00
Fractional positions:
Y 0.000 0.000 0.000
Te 0.750 0.750 0.750
Li 0.500 0.500 0.500

(16)
First-principles (PBE) data for a relaxed HfAlNi crystal, as listed in Alexandria.

Output
- Fermi-level density of states (states/eV per cell) = 3.01
- spin magnetization (μB per cell) = 0.00
- calculated formation energy (kJ/mol of formula units) = -133

a b c (Å): 3.001 3.001 5.616
angles (deg): 105.50 105.50 90.00
Fractional positions:
Hf 0.010 0.010 0.021
Al 0.310 0.310 0.619
Ni 0.680 0.680 0.360

(17)
First-principles (PBE) data for a relaxed K2Cu2TeS6 crystal, as listed in Alexandria.

Output
- Fermi-level density of states (states/eV per cell) = 6.15
- ΔE_f (raw) (eV/f.u.) = -2.86
- spin magnetization (μB per cell) = 0.00

a b c (Å): 5.700 7.590 8.589
angles (deg): 117.37 90.00 112.06
Fractional positions:
S 0.809 0.021 0.265
S 0.290 0.580 0.257
S 0.788 0.979 0.735
S 0.710 0.420 0.743
S 0.191 0.979 0.735
S 0.212 0.021 0.265
Te 0.500 0.000 0.500
Cu 0.841 0.682 0.685
Cu 0.159 0.318 0.315
K 0.315 0.631 0.897
K 0.685 0.369 0.103

(18)
First-principles (PBE) data for a relaxed Cs2Sm2MnS6 crystal, as listed in Alexandria.

Output
- ΔE_f (raw) (eV/f.u.) = -15.27
- spin magnetization (μB per cell) = 2.98

a b c (Å): 6.790 6.790 8.551
angles (deg): 98.32 98.32 119.12
Site moments in Bohr magnetons follow the coordinates.
Fractional positions:
S 0.771 0.771 0.670  -0.03
S 0.356 0.063 0.673  -0.04
S 0.229 0.229 0.330  -0.03
S 0.937 0.644 0.327  -0.04
S 0.063 0.356 0.673  -0.04
S 0.644 0.937 0.327  -0.04
Mn 0.000 0.000 0.500  3.07
Sm 0.333 0.667 0.500  0.01
Sm 0.667 0.333 0.500  0.01
Cs 0.173 0.827 0.000  0.00
Cs 0.827 0.173 0.000  0.00

(19)
First-principles (PBE) data for a relaxed Ce3Ge2Rh2 crystal, as listed in Alexandria.

Output
- Fermi-level density of states (states/eV per cell) = 48.61
- spin magnetization (μB per cell) = 7.80
- calculated formation energy (kJ/mol of formula units) = -579

a b c (Å): 5.598 8.065 13.272
angles (deg): 90.00 90.00 90.00
Site moments in Bohr magnetons follow the coordinates.
Fractional positions:
Rh 0.378 0.043 0.407  -0.05
Rh 0.378 0.457 0.593  -0.05
Rh 0.622 0.957 0.593  -0.05
Rh 0.378 0.043 0.093  -0.05
Rh 0.622 0.543 0.093  -0.05
Rh 0.378 0.457 0.907  -0.05
Rh 0.622 0.957 0.907  -0.05
Rh 0.622 0.543 0.407  -0.05
Ce 0.364 0.739 0.750  0.57
Ce 0.156 0.398 0.098  0.54
Ce 0.844 0.602 0.902  0.54
Ce 0.156 0.398 0.402  0.54
Ce 0.156 0.102 0.902  0.54
Ce 0.364 0.761 0.250  0.57
Ce 0.844 0.898 0.098  0.54
Ce 0.844 0.898 0.402  0.54
Ce 0.844 0.602 0.598  0.54
Ce 0.156 0.102 0.598  0.54
Ce 0.636 0.261 0.250  0.57
Ce 0.636 0.239 0.750  0.57
Ge 0.130 0.390 0.750  -0.02
Ge 0.677 0.250 0.500  -0.02
Ge 0.870 0.610 0.250  -0.02
Ge 0.677 0.250 0.000  -0.02
Ge 0.130 0.110 0.250  -0.02
Ge 0.870 0.890 0.750  -0.02
Ge 0.323 0.750 0.000  -0.02
Ge 0.323 0.750 0.500  -0.02

(20)
First-principles (PBE) data for a relaxed InTc2Se crystal, as listed in Alexandria.

Output
- Fermi-level density of states (states/eV per cell) = 5.42
- ΔE_f (raw) (eV/f.u.) = 2.59
- spin magnetization (μB per cell) = 0.79

a b c (Å): 5.228 5.228 3.102
angles (deg): 75.26 75.26 112.80
Site moments in Bohr magnetons follow the coordinates.
Fractional positions:
Tc 0.500 0.500 0.000  0.35
Tc 0.000 0.000 0.000  0.35
In 0.500 0.000 0.500  -0.01
Se 0.000 0.500 0.500  0.03

(21)
First-principles (PBE) data for a relaxed PrB2Pt2C crystal, as listed in Alexandria.

Output
- Fermi-level density of states (states/eV per cell) = 1.96
- spin magnetization (μB per cell) = 0.00
- calculated formation energy (kJ/mol of formula units) = -358

a b c (Å): 6.061 6.061 6.061
angles (deg): 142.72 142.72 53.74
Fractional positions:
Pt 0.250 0.750 0.500
Pt 0.750 0.250 0.500
C 0.500 0.500 0.000
B 0.363 0.363 0.000
B 0.637 0.637 0.000
Pr 0.000 0.000 0.000

(22)
First-principles (PBE) data for a relaxed SmSc3Cu4 crystal, as listed in Alexandria.

Output
- Fermi-level density of states (states/eV per cell) = 10.17
- spin magnetization (μB per cell) = 0.00
- calculated formation energy (kJ/mol of formula units) = -176

a b c (Å): 4.717 6.662 9.444
angles (deg): 90.00 90.00 90.00
Fractional positions:
Sc 0.497 0.000 0.250
Sc 0.000 0.000 0.000
Sc 0.499 0.500 0.250
Sc 0.000 0.000 0.500
Sc 0.501 0.500 0.750
Sc 0.503 0.000 0.750
Cu 0.995 0.773 0.250
Cu 0.005 0.773 0.750
Cu 0.500 0.773 0.500
Cu 0.500 0.773 0.000
Cu 0.500 0.227 0.000
Cu 0.995 0.227 0.250
Cu 0.500 0.227 0.500
Cu 0.005 0.227 0.750
Sm 0.000 0.500 0.500
Sm 0.000 0.500 0.000

(23)
First-principles (PBE) data for a relaxed NaMn2TlPb crystal, as listed in Alexandria.

Output
- Fermi-level density of states (states/eV per cell) = 4.43
- spin magnetization (μB per cell) = 8.28
- calculated formation energy (kJ/mol of formula units) = 432

a b c (Å): 5.219 5.972 5.219
angles (deg): 90.00 90.00 90.00
Site moments in Bohr magnetons follow the coordinates.
Fractional positions:
Mn 0.500 0.000 0.000  3.89
Mn 0.000 0.000 0.500  4.20
Na 0.500 0.500 0.500  -0.01
Tl 0.000 0.000 0.000  -0.07
Pb 0.000 0.500 0.000  -0.08